# Sb2S2Br

Sb2S2Br after structural relaxation (GGA-PBE, the Alexandria database).

Cell: 3.957 8.782 8.857 Å, 109.15 102.68 90.24°
Atoms (fractional coordinates):
Sb1 0.147 0.349 0.295
Sb2 0.211 0.844 0.425
Sb3 0.789 0.156 0.575
Sb4 0.853 0.651 0.705
S1 0.314 0.393 0.633
S2 0.361 0.864 0.720
S3 0.639 0.136 0.280
S4 0.686 0.607 0.367
Br1 0.017 0.745 0.036
Br2 0.983 0.255 0.964

Computed properties:
The magnetization comes out at 0.000 μB/atom. The raw total energy comes out at -38.7 eV per cell. As for the formation energy without anion corrections: -1.163 eV/f.u. As for the volume: 28.3 Å³ per atom. The energy above the most stable polymorph in this dataset is 0 meV/atom. The crystal system is triclinic.

***

# YTa2Cu

YTa2Cu after structural relaxation (GGA-PBE, the Alexandria database).

Cell: 3.049 5.155 5.083 Å, 90.00 97.87 90.00°
Atoms (fractional coordinates):
Y1 0.000 0.000 0.000
Ta1 0.354 0.500 0.736
Ta2 0.646 0.500 0.264
Cu1 0.500 0.000 0.500

Computed properties:
The magnetization comes out at 0.000 μB/atom. The raw total energy comes out at -32.9 eV per cell. As for the volume: 19.8 Å³ per atom. The energy above the most stable polymorph in this dataset is 163 meV/atom. Its formation enthalpy at 0 K is 348 meV per atom. The crystal system is monoclinic.

***

# In5Pb

In5Pb after structural relaxation (GGA-PBE, the Alexandria database).

Cell: 6.117 6.117 5.592 Å, 90.00 90.00 120.00°
Atoms (fractional coordinates):
In1 0.000 0.500 0.000
In2 0.333 0.667 0.500
In3 0.500 0.000 0.000
In4 0.500 0.500 0.000
In5 0.667 0.333 0.500
Pb1 0.000 0.000 0.500

Computed properties:
The magnetization comes out at 0.000 μB/atom. The raw total energy comes out at -16.5 eV per cell. As for the volume: 30.2 Å³ per atom. The energy above the most stable polymorph in this dataset is 128 meV/atom. Its formation enthalpy at 0 K is 145 meV per atom. The crystal system is hexagonal.

***

# Be3Ag

Be3Ag after structural relaxation (GGA-PBE, the Alexandria database).

Cell: 2.758 2.758 5.523 Å, 90.00 90.00 90.00°
Atoms (fractional coordinates):
Be1 0.000 0.000 0.000
Be2 0.500 0.500 0.205
Be3 0.500 0.500 0.795
Ag1 0.000 0.000 0.500

Computed properties:
The magnetization comes out at 0.000 μB/atom. The raw total energy comes out at -13.4 eV per cell. As for the volume: 10.5 Å³ per atom. The energy above the most stable polymorph in this dataset is 20 meV/atom. Its formation enthalpy at 0 K is 160 meV per atom. The crystal system is tetragonal.

***

# Pm2MnGa4Pd3

Pm2MnGa4Pd3 after structural relaxation (GGA-PBE, the Alexandria database).

Cell: 4.153 4.153 11.097 Å, 90.00 90.00 90.00°
Atoms (fractional coordinates):
Pm1 0.000 0.500 0.249
Pm2 0.500 0.000 0.751
Mn1 0.500 0.500 0.000
Ga1 0.000 0.000 0.500
Ga2 0.000 0.500 0.864
Ga3 0.500 0.000 0.136
Ga4 0.500 0.500 0.500
Pd1 0.000 0.000 0.000
Pd2 0.000 0.500 0.636
Pd3 0.500 0.000 0.364

Computed properties:
The magnetization comes out at 0.309 μB/atom. The raw total energy comes out at -53.0 eV per cell. As for the volume: 19.1 Å³ per atom. Its formation enthalpy at 0 K is -663 meV per atom. The crystal system is tetragonal.

***

# LaAl2Ag

LaAl2Ag after structural relaxation (GGA-PBE, the Alexandria database).

Cell: 4.976 4.976 4.976 Å, 60.00 60.00 60.00°
Atoms (fractional coordinates):
La1 0.000 0.000 0.000
Al1 0.250 0.250 0.250
Al2 0.750 0.750 0.750
Ag1 0.500 0.500 0.500

Computed properties:
The magnetization comes out at 0.000 μB/atom. The raw total energy comes out at -16.0 eV per cell. As for the volume: 21.8 Å³ per atom. The energy above the most stable polymorph in this dataset is 215 meV/atom. Its formation enthalpy at 0 K is -177 meV per atom. The crystal system is cubic.

***

# HfNb2Te6

HfNb2Te6 after structural relaxation (GGA-PBE, the Alexandria database).

Cell: 7.785 7.785 9.670 Å, 109.34 109.34 27.49°
Atoms (fractional coordinates):
Hf1 0.000 0.000 0.000
Nb1 0.359 0.359 0.705
Nb2 0.641 0.641 0.295
Te1 0.007 0.007 0.308
Te2 0.295 0.295 0.384
Te3 0.350 0.350 0.981
Te4 0.650 0.650 0.019
Te5 0.705 0.705 0.616
Te6 0.993 0.993 0.692

Computed properties:
The magnetization comes out at 0.000 μB/atom. The raw total energy comes out at -53.7 eV per cell. As for the formation energy without anion corrections: -4.788 eV/f.u. As for the volume: 28.3 Å³ per atom. The crystal system is monoclinic.

***

# Rb7Hg4O

Rb7Hg4O after structural relaxation (GGA-PBE, the Alexandria database).

Cell: 12.319 12.319 8.642 Å, 104.05 104.05 27.00°
Atoms (fractional coordinates):
Rb1 0.000 0.000 0.000
Rb2 0.220 0.220 0.693
Rb3 0.400 0.400 0.095
Rb4 0.435 0.435 0.684
Rb5 0.565 0.565 0.316
Rb6 0.600 0.600 0.905
Rb7 0.780 0.780 0.307
Hg1 0.057 0.057 0.616
Hg2 0.169 0.169 0.196
Hg3 0.831 0.831 0.804
Hg4 0.943 0.943 0.384
O1 0.500 0.500 0.000

Computed properties:
The magnetization comes out at 0.000 μB/atom. The raw total energy comes out at -17.3 eV per cell. As for the formation energy without anion corrections: -4.374 eV/f.u. As for the volume: 48.1 Å³ per atom. The crystal system is monoclinic.

***

# Ga2Cu8Si

Ga2Cu8Si after structural relaxation (GGA-PBE, the Alexandria database).

Cell: 6.172 6.172 3.965 Å, 90.00 90.00 105.56°
Atoms (fractional coordinates):
Ga1 0.130 0.870 0.000
Ga2 0.870 0.130 0.000
Cu1 0.172 0.172 0.500
Cu2 0.203 0.462 0.000
Cu3 0.262 0.738 0.500
Cu4 0.462 0.203 0.000
Cu5 0.538 0.797 0.000
Cu6 0.738 0.262 0.500
Cu7 0.797 0.538 0.000
Cu8 0.828 0.828 0.500
Si1 0.500 0.500 0.500

Computed properties:
The magnetization comes out at 0.000 μB/atom. The raw total energy comes out at -44.2 eV per cell. As for the formation energy without anion corrections: 0.033 eV/f.u. As for the volume: 13.2 Å³ per atom. The energy above the most stable polymorph in this dataset is 76 meV/atom. The crystal system is orthorhombic.

***

# BaCaCd2In2

BaCaCd2In2 after structural relaxation (GGA-PBE, the Alexandria database).

Cell: 5.062 5.062 8.252 Å, 90.00 90.00 120.00°
Atoms (fractional coordinates):
Ba1 0.000 0.000 0.000
Ca1 0.000 0.000 0.500
Cd1 0.333 0.667 0.300
Cd2 0.667 0.333 0.700
In1 0.333 0.667 0.709
In2 0.667 0.333 0.291

Computed properties:
The magnetization comes out at 0.000 μB/atom. The raw total energy comes out at -13.7 eV per cell. As for the volume: 30.5 Å³ per atom. Its formation enthalpy at 0 K is -412 meV per atom. The crystal system is trigonal.

***

# HoLuTcAg

HoLuTcAg after structural relaxation (GGA-PBE, the Alexandria database).

Cell: 4.908 4.908 4.908 Å, 60.00 60.00 60.00°
Atoms (fractional coordinates):
Ho1 0.000 0.000 0.000
Lu1 0.500 0.500 0.500
Tc1 0.250 0.250 0.250
Ag1 0.750 0.750 0.750

Computed properties:
The magnetization comes out at 0.001 μB/atom. The raw total energy comes out at -23.0 eV per cell. As for the volume: 20.9 Å³ per atom. Its formation enthalpy at 0 K is -168 meV per atom. The crystal system is cubic.

***

# GdInBi

GdInBi after structural relaxation (GGA-PBE, the Alexandria database).

Cell: 5.967 5.967 5.967 Å, 140.14 140.14 57.65°
Atoms (fractional coordinates):
Gd1 0.000 0.000 0.000
In1 0.325 0.325 0.000
Bi1 0.667 0.667 0.000

Computed properties:
The magnetization comes out at 2.722 μB/atom. The raw total energy comes out at -21.8 eV per cell. As for the volume: 28.8 Å³ per atom. The energy above the most stable polymorph in this dataset is 0 meV/atom. Its formation enthalpy at 0 K is -372 meV per atom. The crystal system is tetragonal.

***

# TiHg2Br2

TiHg2Br2 after structural relaxation (GGA-PBE, the Alexandria database).

Cell: 6.947 6.947 7.199 Å, 90.00 90.00 90.00°
Atoms (fractional coordinates):
Ti1 0.000 0.000 0.000
Ti2 0.500 0.500 0.000
Hg1 0.172 0.328 0.500
Hg2 0.328 0.828 0.500
Hg3 0.672 0.172 0.500
Hg4 0.828 0.672 0.500
Br1 0.180 0.680 0.000
Br2 0.320 0.180 0.000
Br3 0.680 0.820 0.000
Br4 0.820 0.320 0.000

Computed properties:
The magnetization comes out at 0.400 μB/atom. The raw total energy comes out at -27.2 eV per cell. As for the formation energy without anion corrections: -1.777 eV/f.u. As for the volume: 34.7 Å³ per atom. The energy above the most stable polymorph in this dataset is 0 meV/atom. The crystal system is tetragonal.

***

# Y6ErSc3

Y6ErSc3 after structural relaxation (GGA-PBE, the Alexandria database).

Cell: 10.666 10.666 6.198 Å, 90.00 90.00 121.47°
Atoms (fractional coordinates):
Y1 0.039 0.445 0.990
Y2 0.047 0.953 0.500
Y3 0.296 0.369 0.170
Y4 0.301 0.699 0.307
Y5 0.369 0.296 0.670
Y6 0.445 0.039 0.490
Y7 0.555 0.961 0.990
Y8 0.631 0.704 0.170
Y9 0.699 0.301 0.807
Y10 0.704 0.631 0.670
Y11 0.953 0.047 0.000
Y12 0.961 0.555 0.490
Er1 0.210 0.790 0.821
Er2 0.790 0.210 0.321
Sc1 0.073 0.302 0.562
Sc2 0.302 0.073 0.062
Sc3 0.386 0.614 0.749
Sc4 0.614 0.386 0.249
Sc5 0.698 0.927 0.562
Sc6 0.927 0.698 0.062

Computed properties:
The magnetization comes out at 0.000 μB/atom. The raw total energy comes out at -121.4 eV per cell. As for the volume: 30.1 Å³ per atom. The energy above the most stable polymorph in this dataset is 113 meV/atom. Its formation enthalpy at 0 K is 165 meV per atom. The crystal system is orthorhombic.

***

# KTcAg2Pb

KTcAg2Pb after structural relaxation (GGA-PBE, the Alexandria database).

Cell: 5.477 5.477 5.432 Å, 90.00 90.00 90.00°
Atoms (fractional coordinates):
K1 0.000 0.000 0.000
Tc1 0.500 0.500 0.000
Ag1 0.000 0.500 0.500
Ag2 0.500 0.000 0.500
Pb1 0.500 0.500 0.500

Computed properties:
The magnetization comes out at 0.727 μB/atom. The raw total energy comes out at -16.3 eV per cell. As for the volume: 32.6 Å³ per atom. Its formation enthalpy at 0 K is 915 meV per atom. The crystal system is tetragonal.

***

# SiTc2Ni

SiTc2Ni after structural relaxation (GGA-PBE, the Alexandria database).

Cell: 3.739 3.739 3.757 Å, 90.00 90.00 90.00°
Atoms (fractional coordinates):
Si1 0.000 0.000 0.000
Tc1 0.000 0.500 0.500
Tc2 0.500 0.000 0.500
Ni1 0.500 0.500 0.000

Computed properties:
The magnetization comes out at 0.000 μB/atom. The raw total energy comes out at -32.2 eV per cell. As for the formation energy without anion corrections: -0.254 eV/f.u. As for the volume: 13.1 Å³ per atom. The crystal system is tetragonal.

***

# La4SmHo2Sc

La4SmHo2Sc after structural relaxation (GGA-PBE, the Alexandria database).

Cell: 5.891 5.881 7.788 Å, 90.00 90.01 90.00°
Atoms (fractional coordinates):
La1 0.000 0.000 0.237
La2 0.000 0.000 0.763
La3 0.499 0.500 0.763
La4 0.501 0.500 0.237
Sm1 0.500 0.000 0.500
Ho1 0.000 0.500 0.500
Ho2 0.500 0.000 0.000
Sc1 0.000 0.500 0.000

Computed properties:
The magnetization comes out at 0.000 μB/atom. The raw total energy comes out at -39.4 eV per cell. As for the volume: 33.7 Å³ per atom. Its formation enthalpy at 0 K is 63 meV per atom. The crystal system is monoclinic.

***

# Ho7Tm16Th6

Ho7Tm16Th6 after structural relaxation (GGA-PBE, the Alexandria database).

Cell: 10.962 10.962 10.962 Å, 60.00 60.00 60.00°
Atoms (fractional coordinates):
Ho1 0.000 0.000 0.000
Ho2 0.000 0.000 0.500
Ho3 0.000 0.500 0.000
Ho4 0.000 0.500 0.500
Ho5 0.500 0.000 0.000
Ho6 0.500 0.000 0.500
Ho7 0.500 0.500 0.000
Tm1 0.023 0.659 0.659
Tm2 0.120 0.120 0.120
Tm3 0.120 0.120 0.640
Tm4 0.120 0.640 0.120
Tm5 0.341 0.341 0.341
Tm6 0.341 0.341 0.977
Tm7 0.341 0.977 0.341
Tm8 0.360 0.880 0.880
Tm9 0.640 0.120 0.120
Tm10 0.659 0.023 0.659
Tm11 0.659 0.659 0.023
Tm12 0.659 0.659 0.659
Tm13 0.880 0.360 0.880
Tm14 0.880 0.880 0.360
Tm15 0.880 0.880 0.880
Tm16 0.977 0.341 0.341
Th1 0.330 0.330 0.670
Th2 0.330 0.670 0.330
Th3 0.330 0.670 0.670
Th4 0.670 0.330 0.330
Th5 0.670 0.330 0.670
Th6 0.670 0.670 0.330

Computed properties:
The magnetization comes out at 0.000 μB/atom. The raw total energy comes out at -139.0 eV per cell. As for the volume: 32.1 Å³ per atom. Its formation enthalpy at 0 K is 313 meV per atom. The crystal system is cubic.

***

# HfAlPt6

HfAlPt6 after structural relaxation (GGA-PBE, the Alexandria database).

Cell: 3.988 3.988 7.914 Å, 90.00 90.00 90.00°
Atoms (fractional coordinates):
Hf1 0.000 0.000 0.000
Al1 0.000 0.000 0.500
Pt1 0.000 0.500 0.255
Pt2 0.000 0.500 0.745
Pt3 0.500 0.000 0.255
Pt4 0.500 0.000 0.745
Pt5 0.500 0.500 0.000
Pt6 0.500 0.500 0.500

Computed properties:
The magnetization comes out at 0.000 μB/atom. The raw total energy comes out at -57.3 eV per cell. As for the volume: 15.7 Å³ per atom. Its formation enthalpy at 0 K is -921 meV per atom. The crystal system is tetragonal.

***

# IrOs3Pd

IrOs3Pd after structural relaxation (GGA-PBE, the Alexandria database).

Cell: 4.691 4.691 4.691 Å, 90.00 90.00 90.00°
Atoms (fractional coordinates):
Ir1 0.000 0.000 0.000
Os1 0.000 0.000 0.500
Os2 0.000 0.500 0.000
Os3 0.500 0.000 0.000
Pd1 0.500 0.500 0.500

Computed properties:
The magnetization comes out at 0.413 μB/atom. The raw total energy comes out at -35.7 eV per cell. As for the volume: 20.6 Å³ per atom. The energy above the most stable polymorph in this dataset is 0 meV/atom. Its formation enthalpy at 0 K is 2401 meV per atom. The crystal system is cubic.